The following is a GGA-PBE calculation of an optimized crystal structure of Fe2MoPt, from Alexandria via LeMat-Bulk.

Cell: 2.6990 3.7200 5.3847 Å, 90.00 90.00 90.00°
Element x y z (fractional)
Fe1 0.0000 0.0000 0.0000
Fe2 0.5000 0.5000 0.2155
Mo1 0.0000 0.0000 0.4496
Pt1 0.5000 0.5000 0.7339

Results
- Total DFT energy (no corrections): -8.507 eV per atom
- ΔE_f: -58 meV per atom
- Calculated volume: 13.52 Å³ per atom

The following is a GGA-PBE calculation of an optimized crystal structure of Fe2MoPt, from Alexandria via LeMat-Bulk.

Cell: 2.6503 2.6503 7.9937 Å, 90.00 90.00 96.21°
Element x y z (fractional)
Fe1 0.0000 0.0000 0.2437
Fe2 0.0000 0.0000 0.7563
Mo1 0.5000 0.5000 0.5000
Pt1 0.5000 0.5000 0.0000

Results
- Total DFT energy (no corrections): -8.446 eV per atom
- ΔE_f: 4 meV per atom
- Calculated volume: 13.95 Å³ per atom

The following is a GGA-PBE calculation of an optimized crystal structure of Fe2MoPt, from Alexandria via LeMat-Bulk.

Cell: 4.6100 4.6100 2.6942 Å, 90.00 90.00 108.01°
Element x y z (fractional)
Fe1 0.0000 0.5000 0.0000
Fe2 0.5000 0.0000 0.0000
Mo1 0.0000 0.0000 0.5000
Pt1 0.5000 0.5000 0.5000

Results
- Total DFT energy (no corrections): -8.415 eV per atom
- ΔE_f: 35 meV per atom
- Calculated volume: 13.61 Å³ per atom

The following is a GGA-PBE calculation of an optimized crystal structure of FeMo2Pt, from Alexandria via LeMat-Bulk.

Cell: 4.8264 4.8264 2.7032 Å, 90.00 90.00 111.85°
Element x y z (fractional)
Fe1 0.0000 0.0000 0.0000
Mo1 0.0000 0.5000 0.5000
Mo2 0.5000 0.0000 0.5000
Pt1 0.5000 0.5000 0.0000

Results
- Total DFT energy (no corrections): -9.095 eV per atom
- ΔE_f: -54 meV per atom
- Calculated volume: 14.61 Å³ per atom

Number 3 is which compound?
Fe2MoPt

What did the fourth record say?
The following is a GGA-PBE calculation of an optimized crystal structure of FeMo2Pt, from Alexandria via LeMat-Bulk.

Cell: 4.8264 4.8264 2.7032 Å, 90.00 90.00 111.85°
Element x y z (fractional)
Fe1 0.0000 0.0000 0.0000
Mo1 0.0000 0.5000 0.5000
Mo2 0.5000 0.0000 0.5000
Pt1 0.5000 0.5000 0.0000

Results
- Total DFT energy (no corrections): -9.095 eV per atom
- ΔE_f: -54 meV per atom
- Calculated volume: 14.61 Å³ per atom

What is the formula in the third record?
Fe2MoPt

Which of these has the lowest total DFT energy (no corrections)?
FeMo2Pt